[1]
Entry from Alexandria: an optimized crystal structure of GdLuPuSc (GGA-PBE).

* symmetry: F-43m (216)
* formation energy: 58 kJ/mol of formula units

a = 5.430 Å, b = 5.430 Å, c = 5.430 Å
α = 60.00°, β = 60.00°, γ = 60.00°
Each line ends with the local moment (μB).
Element x y z (fractional)
Gd 0.250 0.250 0.250  -7.17
Sc 0.000 0.000 0.000  0.09
Lu 0.500 0.500 0.500  0.10
Pu 0.750 0.750 0.750  5.43

[2]
Entry from Alexandria: an optimized crystal structure of GdLuPuSn (GGA-PBE).

* symmetry: F-43m (216)
* formation energy: -53 kJ/mol of formula units

a = 5.384 Å, b = 5.384 Å, c = 5.384 Å
α = 60.00°, β = 60.00°, γ = 60.00°
Each line ends with the local moment (μB).
Element x y z (fractional)
Gd 0.500 0.500 0.500  -6.95
Lu 0.750 0.750 0.750  0.32
Sn 0.250 0.250 0.250  -0.01
Pu 0.000 0.000 0.000  5.53